Record 1
MgNbTlSe3 | PBE | optimized geometry

a = 7.962 Å, b = 3.794 Å, c = 10.598 Å
α = 90.00°, β = 107.53°, γ = 90.00°
Space group P2_1/m (No. 11)
Asymmetric unit:
Mg 0.035 0.250 0.123 x2
Nb 0.024 0.750 0.394 x2
Tl 0.463 0.750 0.191 x2
Se 0.186 0.250 0.930 x2
Se 0.213 0.750 0.636 x2
Se 0.249 0.250 0.353 x2

## Properties
VASP energy	-4.846	eV per atom
magnetization	0.01	μB/f.u.
excess energy over the best structure of this formula in the dataset	0.00	eV per formula unit

Record 2
SmBi | PBE | optimized geometry

a = 4.6367 Å, b = 4.6367 Å, c = 7.0618 Å
α = 90.00°, β = 90.00°, γ = 120.00°
Space group P6_3/mmc (No. 194)
Asymmetric unit:
Sm 0.0000 0.0000 0.0000 x2
Bi 0.3333 0.6667 0.2500 x2

## Properties
VASP energy	-5.149	eV per atom
magnetization	0.00	μB/f.u.
excess energy over the best structure of this formula in the dataset	0.35	eV per formula unit

Record 3
Dy2Al3ZnNi2 | PBE | optimized geometry

a = 10.288 Å, b = 4.646 Å, c = 5.992 Å
α = 90.00°, β = 98.30°, γ = 90.00°
Space group Cm (No. 8)
Asymmetric unit:
Dy 0.000 0.000 0.000 x2
Dy 0.229 0.000 0.493 x2
Al 0.025 0.500 0.390 x2
Al 0.199 0.500 0.119 x2
Al 0.309 0.000 0.008 x2
Zn 0.417 0.500 0.484 x2
Ni 0.236 0.500 0.738 x2
Ni 0.488 0.000 0.774 x2

## Properties
VASP energy	-4.532	eV per atom
magnetization	0.00	μB/f.u.

Record 4
ZrTlPt2 | PBE | optimized geometry

a = 6.667 Å, b = 6.667 Å, c = 6.667 Å
α = 90.00°, β = 90.00°, γ = 90.00°
Space group F-43m (No. 216)
Asymmetric unit:
Zr 0.000 0.000 0.000 x4
Tl 0.250 0.250 0.750 x4
Pt 0.000 0.000 0.500 x4
Pt 0.250 0.250 0.250 x4

## Properties
VASP energy	-6.131	eV per atom
magnetization	0.00	μB/f.u.